Compound: NbTlH2Cl8
Source: the Alexandria database
Functional: PBE
Structure: optimized geometry

Properties
density of states at the Fermi level	0.00	states/eV per cell
raw total energy	-3.803	eV per atom

Unit cell a=7.453 b=6.888 c=9.001 alpha=128.16 beta=95.08 gamma=85.21
Fractional positions:
Cl: 0.183 0.808 0.109
Cl: 0.817 0.192 0.891
Cl: 0.390 0.302 0.629
Cl: 0.230 0.904 0.789
Cl: 0.770 0.096 0.211
Cl: 0.610 0.698 0.371
Cl: 0.866 0.618 0.759
Cl: 0.134 0.382 0.241
Tl: 0.000 0.000 0.500
H: 0.333 0.519 0.680
H: 0.667 0.481 0.320
Nb: 0.000 0.000 0.000